Pm3Sm4Sc2: relaxed, PBE-GGA.

Output
energy of formation	0.043	eV/atom
excess energy over the best structure of this formula in the dataset	0.000	eV/f.u.
N(E_F)	26.455	states/eV/cell

Structure (CIF):
```
data_Pm3Sm4Sc2
_chemical_formula_sum 'Pm6 Sm8 Sc4'
_cell_length_a 7.0832
_cell_length_b 8.7006
_cell_length_c 9.6203
_cell_angle_alpha 103.64
_cell_angle_beta 90.00
_cell_angle_gamma 90.01
_symmetry_space_group_name_H-M 'P -1'
_symmetry_Int_Tables_number 2
loop_
_symmetry_equiv_pos_as_xyz
'x,y,z'
'-x,-y,-z'
loop_
_atom_site_label
_atom_site_type_symbol
_atom_site_fract_x
_atom_site_fract_y
_atom_site_fract_z
Pm1 Pm 0.0003 0.1440 0.2892
Pm2 Pm 0.2533 0.8030 0.0375
Pm3 Pm 0.2549 0.5062 0.4968
Sm1 Sm 0.9998 0.4764 0.8147
Sm2 Sm 0.2521 0.1642 0.6118
Sm3 Sm 0.2557 0.1948 0.9691
Sm4 Sm 0.4995 0.1511 0.2877
Sc1 Sc 0.2564 0.8335 0.3859
Sc2 Sc 0.4993 0.5287 0.1798
```